Crystalline HoMnF at its relaxed geometry. Source: Alexandria via LeMat-Bulk, functional PBE+U.

a = 3.7779 Å, b = 3.7779 Å, c = 23.7260 Å
α = 90.00°, β = 90.00°, γ = 120.00°
Space group R-3m (No. 166, hexagonal axes)
One atom of each set of equivalent atoms:
Ho (0.0000, 0.0000, 0.0910) (multiplicity 6)
Mn (0.0000, 0.0000, 0.3381) (multiplicity 6)
F (0.0000, 0.0000, 0.1953) (multiplicity 6)

Summary:
E_tot = -0.1992 hartree per atom
calculated volume = 16.29 Å³/atom